Record 1
Compound: SiTe2P
Source: the Alexandria database
Functional: GGA-PBE
Structure: relaxed

Computed properties:
size of the total moment	0.0	μB per cell
relative energy among the computed polymorphs	607.8	meV per atom

a = 7.0805 Å, b = 7.0805 Å, c = 7.0805 Å
α = 90.00°, β = 90.00°, γ = 90.00°
Space group F-43m (No. 216)
Symmetry-distinct sites (fractional):
Si1 0.0000 0.0000 0.0000 [4 per cell]
Te1 0.0000 0.0000 0.5000 [4 per cell]
Te2 0.2500 0.2500 0.7500 [4 per cell]
P1 0.2500 0.2500 0.2500 [4 per cell]


Record 2
Compound: SiTe2P
Source: the Alexandria database
Functional: GGA-PBE
Structure: relaxed

Computed properties:
size of the total moment	0.0	μB per cell
relative energy among the computed polymorphs	229.2	meV per atom

a = 3.5578 Å, b = 3.8052 Å, c = 15.7355 Å
α = 90.00°, β = 90.00°, γ = 90.00°
Space group Imm2 (No. 44)
Symmetry-distinct sites (fractional):
Si1 0.0000 0.0000 0.0000 [2 per cell]
Te1 0.0000 0.0000 0.4235 [2 per cell]
Te2 0.0000 0.5000 0.1780 [2 per cell]
P1 0.0000 0.5000 0.6171 [2 per cell]


Record 3
Compound: SiTeP2
Source: the Alexandria database
Functional: GGA-PBE
Structure: relaxed

Computed properties:
size of the total moment	0.0	μB per cell
relative energy among the computed polymorphs	74.1	meV per atom

a = 4.4588 Å, b = 3.7105 Å, c = 4.9598 Å
α = 90.00°, β = 106.54°, γ = 90.00°
Space group Pm (No. 6)
Symmetry-distinct sites (fractional):
Si1 0.0000 0.0000 0.0000 [1 per cell]
Te1 0.2092 0.5000 0.6696 [1 per cell]
P1 0.4658 0.0000 0.3595 [1 per cell]
P2 0.7149 0.5000 0.1491 [1 per cell]


Record 4
Compound: SiTe2P
Source: the Alexandria database
Functional: GGA-PBE
Structure: relaxed

Computed properties:
size of the total moment	0.0	μB per cell
relative energy among the computed polymorphs	116.3	meV per atom

a = 4.2502 Å, b = 3.9931 Å, c = 6.8342 Å
α = 90.00°, β = 103.82°, γ = 90.00°
Space group Pm (No. 6)
Symmetry-distinct sites (fractional):
Si1 0.0000 0.0000 0.0000 [1 per cell]
Te1 0.5754 0.5000 0.7904 [1 per cell]
Te2 0.7674 0.0000 0.3145 [1 per cell]
P1 0.3552 0.5000 0.0989 [1 per cell]


Record 5
Compound: Si3TeP
Source: the Alexandria database
Functional: GGA-PBE
Structure: relaxed

Computed properties:
size of the total moment	0.0	μB per cell
relative energy among the computed polymorphs	0.0	meV per atom

a = 4.6769 Å, b = 4.6769 Å, c = 4.6769 Å
α = 90.00°, β = 90.00°, γ = 90.00°
Space group Pm-3m (No. 221)
Symmetry-distinct sites (fractional):
Si1 0.0000 0.0000 0.5000 [3 per cell]
Te1 0.5000 0.5000 0.5000 [1 per cell]
P1 0.0000 0.0000 0.0000 [1 per cell]


Record 6
Compound: SiTeP2
Source: the Alexandria database
Functional: GGA-PBE
Structure: relaxed

Computed properties:
size of the total moment	0.0	μB per cell
relative energy among the computed polymorphs	513.6	meV per atom

a = 3.6048 Å, b = 3.6048 Å, c = 15.4164 Å
α = 90.00°, β = 90.00°, γ = 90.00°
Space group I-4m2 (No. 119)
Symmetry-distinct sites (fractional):
Si1 0.0000 0.0000 0.0000 [2 per cell]
Te1 0.0000 0.5000 0.7500 [2 per cell]
P1 0.0000 0.0000 0.5000 [2 per cell]
P2 0.0000 0.5000 0.2500 [2 per cell]


Record 7
Compound: SiTeP2
Source: the Alexandria database
Functional: GGA-PBE
Structure: relaxed

Computed properties:
size of the total moment	0.0	μB per cell
relative energy among the computed polymorphs	167.4	meV per atom

a = 3.1711 Å, b = 3.1711 Å, c = 8.5698 Å
α = 90.00°, β = 90.00°, γ = 90.00°
Space group P4/mmm (No. 123)
Symmetry-distinct sites (fractional):
Si1 0.0000 0.0000 0.0000 [1 per cell]
Te1 0.0000 0.0000 0.5000 [1 per cell]
P1 0.5000 0.5000 0.1328 [2 per cell]


Record 8
Compound: SiTe2P
Source: the Alexandria database
Functional: GGA-PBE
Structure: relaxed

Computed properties:
size of the total moment	0.0	μB per cell
relative energy among the computed polymorphs	293.2	meV per atom

a = 5.9585 Å, b = 8.1393 Å, c = 3.9810 Å
α = 90.00°, β = 90.00°, γ = 90.00°
Space group Cmmm (No. 65)
Symmetry-distinct sites (fractional):
Si1 0.0000 0.0000 0.0000 [2 per cell]
Te1 0.0000 0.2486 0.5000 [4 per cell]
P1 0.0000 0.5000 0.0000 [2 per cell]


Record 9
Compound: SiTeP2
Source: the Alexandria database
Functional: GGA-PBE
Structure: relaxed

Computed properties:
size of the total moment	0.0	μB per cell
relative energy among the computed polymorphs	309.6	meV per atom

a = 3.4684 Å, b = 5.3879 Å, c = 12.0425 Å
α = 90.00°, β = 90.00°, γ = 90.00°
Space group Imm2 (No. 44)
Symmetry-distinct sites (fractional):
Si1 0.0000 0.0000 0.0000 [2 per cell]
Te1 0.0000 0.5000 0.0735 [2 per cell]
P1 0.0000 0.0000 0.7326 [2 per cell]
P2 0.0000 0.5000 0.3790 [2 per cell]


Record 10
Compound: SiTe2P
Source: the Alexandria database
Functional: GGA-PBE
Structure: relaxed

Computed properties:
size of the total moment	0.0	μB per cell
relative energy among the computed polymorphs	290.8	meV per atom

a = 8.1062 Å, b = 8.1105 Å, c = 2.9365 Å
α = 90.00°, β = 90.40°, γ = 90.00°
Space group C2/m (No. 12)
Symmetry-distinct sites (fractional):
Si1 0.0000 0.0000 0.0000 [2 per cell]
Te1 0.2500 0.2500 0.0000 [4 per cell]
P1 0.0000 0.5000 0.0000 [2 per cell]


Record 11
Compound: SiTe2P
Source: the Alexandria database
Functional: GGA-PBE
Structure: relaxed

Computed properties:
size of the total moment	0.0	μB per cell
relative energy among the computed polymorphs	525.7	meV per atom

a = 3.6293 Å, b = 3.6293 Å, c = 27.8303 Å
α = 90.00°, β = 90.00°, γ = 120.00°
Space group R-3m (No. 166, hexagonal axes)
Symmetry-distinct sites (fractional):
Si1 0.0000 0.0000 0.0000 [3 per cell]
Te1 0.0000 0.0000 0.1017 [6 per cell]
P1 0.0000 0.0000 0.5000 [3 per cell]


Record 12
Compound: Th6Si2Te3P
Source: the Alexandria database
Functional: GGA-PBE
Structure: relaxed

Computed properties:
size of the total moment	0.0	μB per cell

a = 19.2513 Å, b = 4.3000 Å, c = 8.8478 Å
α = 90.00°, β = 106.31°, γ = 90.00°
Space group C2/m (No. 12)
Symmetry-distinct sites (fractional):
Th1 0.0070 0.0000 0.2227 [4 per cell]
Th2 0.1556 0.5000 0.1014 [4 per cell]
Th3 0.1758 0.5000 0.5609 [4 per cell]
Si1 0.1653 0.0000 0.3306 [4 per cell]
Te1 0.0000 0.5000 0.5000 [2 per cell]
Te2 0.1683 0.0000 0.8327 [4 per cell]
P1 0.0000 0.5000 0.0000 [2 per cell]


Record 13
Compound: Th8Si3Te4P
Source: the Alexandria database
Functional: GGA-PBE
Structure: relaxed

Computed properties:
size of the total moment	0.0	μB per cell

a = 8.5904 Å, b = 8.5904 Å, c = 22.0946 Å
α = 90.00°, β = 90.00°, γ = 120.00°
Space group R-3m (No. 166, hexagonal axes)
Symmetry-distinct sites (fractional):
Th1 0.0000 0.0000 0.2370 [6 per cell]
Th2 0.0038 0.5019 0.2364 [18 per cell]
Si1 0.0000 0.5000 0.5000 [9 per cell]
Te1 0.0000 0.0000 0.0000 [3 per cell]
Te2 0.0000 0.5000 0.0000 [9 per cell]
P1 0.0000 0.0000 0.5000 [3 per cell]


Record 14
Compound: Th6Si2TeP3
Source: the Alexandria database
Functional: GGA-PBE
Structure: relaxed

Computed properties:
size of the total moment	0.0	μB per cell

a = 18.4799 Å, b = 4.2225 Å, c = 8.5277 Å
α = 90.00°, β = 103.25°, γ = 90.00°
Space group C2/m (No. 12)
Symmetry-distinct sites (fractional):
Th1 0.9999 0.0000 0.2240 [4 per cell]
Th2 0.1665 0.5000 0.0856 [4 per cell]
Th3 0.1761 0.5000 0.5873 [4 per cell]
Si1 0.1659 0.0000 0.8317 [4 per cell]
Te1 0.0000 0.5000 0.5000 [2 per cell]
P1 0.0000 0.5000 0.0000 [2 per cell]
P2 0.1632 0.0000 0.3335 [4 per cell]


Record 15
Compound: Th6SiTe3P2
Source: the Alexandria database
Functional: GGA-PBE
Structure: relaxed

Computed properties:
size of the total moment	0.0	μB per cell

a = 19.2125 Å, b = 4.2601 Å, c = 8.8327 Å
α = 90.00°, β = 107.06°, γ = 90.00°
Space group C2/m (No. 12)
Symmetry-distinct sites (fractional):
Th1 0.0117 0.0000 0.2318 [4 per cell]
Th2 0.1594 0.5000 0.1111 [4 per cell]
Th3 0.1759 0.5000 0.5594 [4 per cell]
Si1 0.0000 0.5000 0.0000 [2 per cell]
Te1 0.0000 0.5000 0.5000 [2 per cell]
Te2 0.1650 0.0000 0.8337 [4 per cell]
P1 0.1682 0.0000 0.3357 [4 per cell]


Record 16
Compound: Ti2SiTeP
Source: the Alexandria database
Functional: GGA-PBE
Structure: relaxed

Computed properties:
size of the total moment	0.0	μB per cell

a = 4.7629 Å, b = 4.7629 Å, c = 4.3108 Å
α = 90.00°, β = 90.00°, γ = 90.00°
Space group P4/mmm (No. 123)
Symmetry-distinct sites (fractional):
Ti1 0.0000 0.5000 0.0000 [2 per cell]
Si1 0.0000 0.0000 0.5000 [1 per cell]
Te1 0.5000 0.5000 0.5000 [1 per cell]
P1 0.0000 0.0000 0.0000 [1 per cell]


Record 17
Compound: Tm8Si3Te3P
Source: the Alexandria database
Functional: GGA-PBE
Structure: relaxed

Computed properties:
size of the total moment	0.1	μB per cell

a = 8.2329 Å, b = 8.2329 Å, c = 20.7616 Å
α = 90.00°, β = 90.00°, γ = 120.00°
Space group R-3m (No. 166, hexagonal axes)
Symmetry-distinct sites (fractional):
Tm1 0.0000 0.0000 0.2389 [6 per cell]
Tm2 0.0012 0.5006 0.7615 [18 per cell]
Si1 0.0000 0.5000 0.5000 [9 per cell]
Te1 0.0000 0.5000 0.0000 [9 per cell]
P1 0.0000 0.0000 0.5000 [3 per cell]


Record 18
Compound: Tm6Si2Te3P
Source: the Alexandria database
Functional: GGA-PBE
Structure: relaxed

Computed properties:
size of the total moment	0.0	μB per cell

a = 18.3444 Å, b = 4.1376 Å, c = 8.4543 Å
α = 90.00°, β = 104.93°, γ = 90.00°
Space group C2/m (No. 12)
Symmetry-distinct sites (fractional):
Tm1 0.0085 0.0000 0.2290 [4 per cell]
Tm2 0.1585 0.5000 0.1020 [4 per cell]
Tm3 0.1737 0.5000 0.5639 [4 per cell]
Si1 0.1661 0.0000 0.3315 [4 per cell]
Te1 0.0000 0.5000 0.5000 [2 per cell]
Te2 0.1657 0.0000 0.8339 [4 per cell]
P1 0.0000 0.5000 0.0000 [2 per cell]


Record 19
Compound: Tm8SiTe4P3
Source: the Alexandria database
Functional: GGA-PBE
Structure: relaxed

Computed properties:
size of the total moment	0.0	μB per cell

a = 8.1809 Å, b = 8.1809 Å, c = 20.8654 Å
α = 90.00°, β = 90.00°, γ = 120.00°
Space group R-3m (No. 166, hexagonal axes)
Symmetry-distinct sites (fractional):
Tm1 0.0000 0.0000 0.2364 [6 per cell]
Tm2 0.9996 0.4998 0.2373 [18 per cell]
Si1 0.0000 0.0000 0.5000 [3 per cell]
Te1 0.0000 0.0000 0.0000 [3 per cell]
Te2 0.0000 0.5000 0.0000 [9 per cell]
P1 0.0000 0.5000 0.5000 [9 per cell]


Record 20
Compound: Tm8Si3Te4P
Source: the Alexandria database
Functional: GGA-PBE
Structure: relaxed

Computed properties:
size of the total moment	0.0	μB per cell

a = 8.2916 Å, b = 8.2916 Å, c = 20.9444 Å
α = 90.00°, β = 90.00°, γ = 120.00°
Space group R-3m (No. 166, hexagonal axes)
Symmetry-distinct sites (fractional):
Tm1 0.0000 0.0000 0.2391 [6 per cell]
Tm2 0.9998 0.4999 0.2380 [18 per cell]
Si1 0.0000 0.5000 0.5000 [9 per cell]
Te1 0.0000 0.0000 0.0000 [3 per cell]
Te2 0.0000 0.5000 0.0000 [9 per cell]
P1 0.0000 0.0000 0.5000 [3 per cell]


Record 21
Compound: Tm4SiTe2P
Source: the Alexandria database
Functional: GGA-PBE
Structure: relaxed

Computed properties:
size of the total moment	0.0	μB per cell

a = 7.1382 Å, b = 4.1196 Å, c = 7.3492 Å
α = 90.00°, β = 108.83°, γ = 90.00°
Space group P2/m (No. 10)
Symmetry-distinct sites (fractional):
Tm1 0.2373 0.0000 0.2122 [2 per cell]
Tm2 0.2617 0.5000 0.7851 [2 per cell]
Si1 0.5000 0.0000 0.0000 [1 per cell]
Te1 0.0000 0.0000 0.5000 [1 per cell]
Te2 0.5000 0.5000 0.5000 [1 per cell]
P1 0.0000 0.5000 0.0000 [1 per cell]


Record 22
Compound: Tm8SiTe3P3
Source: the Alexandria database
Functional: GGA-PBE
Structure: relaxed

Computed properties:
size of the total moment	0.0	μB per cell

a = 8.0983 Å, b = 8.0983 Å, c = 20.6676 Å
α = 90.00°, β = 90.00°, γ = 120.00°
Space group R-3m (No. 166, hexagonal axes)
Symmetry-distinct sites (fractional):
Tm1 0.0000 0.0000 0.2360 [6 per cell]
Tm2 0.0056 0.5028 0.7612 [18 per cell]
Si1 0.0000 0.0000 0.5000 [3 per cell]
Te1 0.0000 0.5000 0.0000 [9 per cell]
P1 0.0000 0.5000 0.5000 [9 per cell]


Record 23
Compound: Y8Si3Te3P
Source: the Alexandria database
Functional: GGA-PBE
Structure: relaxed

Computed properties:
size of the total moment	1.7	μB per cell

a = 8.3457 Å, b = 8.3457 Å, c = 21.1207 Å
α = 90.00°, β = 90.00°, γ = 120.00°
Space group R-3m (No. 166, hexagonal axes)
Symmetry-distinct sites (fractional):
Y1 0.0000 0.0000 0.2396 [6 per cell]
Y2 0.0009 0.5005 0.2385 [18 per cell]
Si1 0.0000 0.5000 0.5000 [9 per cell]
Te1 0.0000 0.5000 0.0000 [9 per cell]
P1 0.0000 0.0000 0.5000 [3 per cell]


Record 24
Compound: Y4SiTe2P
Source: the Alexandria database
Functional: GGA-PBE
Structure: relaxed

Computed properties:
size of the total moment	0.0	μB per cell

a = 7.2411 Å, b = 4.1790 Å, c = 7.4644 Å
α = 90.00°, β = 108.82°, γ = 90.00°
Space group P2/m (No. 10)
Symmetry-distinct sites (fractional):
Y1 0.2376 0.0000 0.2136 [2 per cell]
Y2 0.2609 0.5000 0.7833 [2 per cell]
Si1 0.5000 0.0000 0.0000 [1 per cell]
Te1 0.0000 0.0000 0.5000 [1 per cell]
Te2 0.5000 0.5000 0.5000 [1 per cell]
P1 0.0000 0.5000 0.0000 [1 per cell]


In order of appearance, formation energy (no corrections) = 0.691 0.313 0.257 0.200 0.727 0.696 0.350 0.377 0.492 0.374 0.609 -1.105 -1.080 -1.178 -1.233 0.040 -1.004 -1.214 -1.398 -1.176 -1.291 -1.255 -1.085 -1.362 eV per atom.
In order of appearance, final energy = -57.40 -31.73 -18.36 -16.32 -21.19 -33.20 -17.99 -31.22 -34.83 -31.24 -44.04 -166.93 -332.64 -177.74 -169.97 -29.57 -245.80 -134.14 -277.07 -266.51 -45.33 -257.01 -297.27 -53.87 eV for the cell shown.